(1)
Density functional theory data (PBE) for a relaxed CuAg crystal.

Calculated total energy: -3.234 eV per atom
SG: P4/nmm
Formation energy: 0.036 eV/atom

```
12
Lattice="2.8450 0.0000 0.0000 0.0000 2.8450 0.0000 0.0000 0.0000 21.9096" Properties=species:S:1:pos:R:3 pbc="T T T"
Cu 0.7112 0.7112 0.7520
Cu 0.7112 0.7112 3.7511
Cu 0.7112 0.7112 19.6589
Cu 2.1337 2.1337 2.2507
Cu 2.1337 2.1337 18.1585
Cu 2.1337 2.1337 21.1576
Ag 0.7112 0.7112 7.7486
Ag 0.7112 0.7112 12.0236
Ag 0.7112 0.7112 16.3088
Ag 2.1337 2.1337 5.6008
Ag 2.1337 2.1337 9.8860
Ag 2.1337 2.1337 14.1610
```

(2)
Density functional theory data (PBE) for a relaxed CuAg crystal.

Calculated total energy: -3.173 eV per atom
SG: Cm
Formation energy: 0.098 eV/atom

```
10
Lattice="7.0911 -1.9362 0.0000 7.0911 1.9362 0.0000 -1.1729 0.0000 5.4432" Properties=species:S:1:pos:R:3 pbc="T T T"
Cu 0.0000 0.0000 0.0000
Cu -0.5204 0.0000 2.7368
Cu 2.0389 0.0000 3.2537
Cu 5.5139 0.0000 1.0809
Cu 7.5851 0.0000 4.2941
Ag 2.6575 0.0000 0.4699
Ag 5.0002 0.0000 3.8226
Ag 8.0790 0.0000 1.6399
Ag 10.3140 0.0000 4.8623
Ag 10.9379 0.0000 2.1559
```

(3)
Density functional theory data (PBE) for a relaxed Cu3Ag2 crystal.

Calculated total energy: -3.273 eV per atom
SG: C2/m
Relative energy among the computed polymorphs: 45.4 meV per atom
Formation energy: 0.087 eV/atom

```
10
Lattice="7.0384 -1.8811 0.0000 7.0384 1.8811 0.0000 -1.0965 0.0000 5.4291" Properties=species:S:1:pos:R:3 pbc="T T T"
Cu 1.4869 0.0000 0.2950
Cu 3.9749 0.0000 0.7335
Cu 3.4868 0.0000 3.6161
Cu 9.4936 0.0000 1.8130
Cu 9.0054 0.0000 4.6956
Cu 11.4935 0.0000 5.1341
Ag 0.9645 0.0000 3.0203
Ag 6.7603 0.0000 1.3089
Ag 6.2201 0.0000 4.1202
Ag 12.0159 0.0000 2.4088
```

(4)
Density functional theory data (PBE) for a relaxed CuAg crystal.

Calculated total energy: -3.174 eV per atom
SG: P2/m
Formation energy: 0.096 eV/atom

```
6
Lattice="4.7241 0.0000 0.0000 0.0000 2.7853 0.0000 -0.3602 0.0000 6.7311" Properties=species:S:1:pos:R:3 pbc="T T T"
Cu 0.0000 0.0000 0.0000
Cu 0.7105 1.3927 2.0737
Cu 3.6534 1.3927 4.6573
Ag 1.2015 0.0000 4.3603
Ag 2.3621 1.3927 0.0000
Ag 3.1624 0.0000 2.3708
```

(5)
Density functional theory data (PBE) for a relaxed CuAg crystal.

Calculated total energy: -3.213 eV per atom
SG: P1
Formation energy: 0.058 eV/atom

```
24
Lattice="2.8215 0.0000 0.0000 0.0000 3.5887 0.0000 0.0083 0.0047 35.2595" Properties=species:S:1:pos:R:3 pbc="T T T"
Cu 0.0000 0.0000 0.0000
Cu 0.0015 0.0045 2.5081
Cu 0.0134 3.5856 32.7617
Cu 0.0086 0.0056 5.0206
Cu 0.0179 0.0018 7.5195
Cu 0.0241 3.5834 10.0004
Cu 1.4105 1.7969 1.2535
Cu 1.4209 1.7957 34.0137
Cu 1.4155 1.8001 3.7658
Cu 1.4285 1.7866 31.5323
Cu 1.4242 1.7988 6.2735
Cu 1.4323 1.7927 8.7717
Ag 0.0213 3.5773 30.0679
Ag 0.0266 3.5712 26.6617
Ag 0.0293 3.5675 23.2904
Ag 0.0301 3.5687 19.9240
Ag 0.0297 3.5725 16.5569
Ag 0.0278 3.5775 13.1718
Ag 1.4350 1.7796 28.3590
Ag 1.4385 1.7746 24.9735
Ag 1.4369 1.7862 11.4644
Ag 1.4403 1.7734 21.6080
Ag 1.4409 1.7760 18.2407
Ag 1.4393 1.7805 14.8685
```

(6)
Density functional theory data (PBE) for a relaxed Cu4Ag5 crystal.

Calculated total energy: -3.139 eV per atom
SG: Cm
Relative energy among the computed polymorphs: 43.9 meV per atom
Formation energy: 0.082 eV/atom

```
9
Lattice="7.0099 -1.4301 0.0000 7.0099 1.4301 0.0000 -3.5463 0.0000 6.8778" Properties=species:S:1:pos:R:3 pbc="T T T"
Cu 0.0000 0.0000 0.0000
Cu 4.7965 0.0000 0.1154
Cu 3.9998 0.0000 4.7830
Cu 6.4123 0.0000 2.0214
Ag -0.7283 0.0000 4.3382
Ag 1.6360 0.0000 2.3023
Ag 5.8939 0.0000 6.8075
Ag 8.7391 0.0000 4.7809
Ag 11.1422 0.0000 2.3898
```

What is the formula in the second record? CuAg